Entry 1:
12
Lattice="-3.323 0.995 3.475 -4.936 -5.972 0.458 3.020 -5.902 8.045" Properties=species:S:1:pos:R:3 comment="Ho5Er5Sc2, optimized geometry, DFT PBE" sg=C2/m total_energy_ev_per_fu=-57.93 total_magnetization_mub_per_cell=0.000 de_polymorph_ev_per_fu=0.00 ef_ev_per_fu=0.433 pbc="T T T"
Er -2.261 -8.621 7.243
Er -5.363 -7.078 7.304
Er 0.124 -3.800 4.675
Er -2.978 -2.258 4.736
Er 0.000 0.000 0.000
Ho -5.140 -6.507 3.886
Ho -2.619 -5.439 5.990
Ho -0.099 -4.371 8.094
Ho -5.501 -3.311 2.625
Ho 0.262 -7.568 9.354
Sc -2.834 -6.010 9.417
Sc -2.405 -4.868 2.563


Entry 2:
11
Lattice="5.543 0.000 0.000 -2.771 5.841 -2.197 0.000 0.309 7.873" Properties=species:S:1:pos:R:3 comment="Ho5SiS5, optimized geometry, DFT PBE" sg=C2/m total_energy_ev_per_fu=-69.23 total_magnetization_mub_per_cell=0.000 e_form_raw_kj_per_mol_atoms=-178 pbc="T T T"
Ho 2.771 4.020 -0.111
Ho 0.000 2.130 5.787
Ho 2.771 0.000 0.000
Ho 0.000 2.029 1.920
Ho 2.771 4.122 3.756
S 2.771 2.274 5.863
S 0.000 0.155 3.936
S 2.772 2.101 1.873
S 0.000 4.049 3.803
S 0.000 3.877 -0.187
Si 0.000 0.000 0.000


Entry 3:
4
Lattice="4.245 0.000 0.000 2.123 3.677 0.000 2.123 1.226 3.466" Properties=species:S:1:pos:R:3 comment="TiMnTcNi, optimized geometry, DFT PBE" sg=F-43m total_energy_ev_per_fu=-33.86 total_magnetization_mub_per_cell=3.320 ef_ev_per_fu=-0.653 pbc="T T T"
Ni 0.000 0.000 0.000
Tc 4.245 2.451 1.733
Ti 6.368 3.677 2.600
Mn 2.123 1.226 0.867


Entry 4:
9
Lattice="3.901 -6.756 0.000 3.901 6.756 0.000 0.000 0.000 5.079" Properties=species:S:1:pos:R:3 comment="YTl2, optimized geometry, DFT PBE" sg=P-62m total_energy_ev_per_fu=-11.42 total_magnetization_mub_per_cell=0.000 ef_ev_per_fu=-0.220 pbc="T T T"
Tl 3.617 0.000 2.540
Tl 0.919 1.592 0.000
Tl 0.919 -1.592 0.000
Tl 2.092 -3.624 2.540
Tl 2.092 3.624 2.540
Tl 5.963 0.000 0.000
Y 0.000 0.000 2.540
Y 3.901 2.252 0.000
Y 3.901 -2.252 0.000


Entry 5:
4
Lattice="-3.869 -2.610 3.259 1.423 -4.748 2.798 0.716 5.569 -0.938" Properties=species:S:1:pos:R:3 comment="Ta2AgCl, optimized geometry, DFT PBE" sg=Imm2 total_energy_ev_per_fu=-26.61 total_magnetization_mub_per_cell=0.000 de_polymorph_ev_per_fu=2.00 e_form_raw_kj_per_mol_atoms=43 pbc="T T T"
Ag -1.206 -3.628 2.987
Ta -0.045 -0.137 0.113
Ta -2.221 -0.460 2.757
Cl 0.519 -1.244 2.292


Entry 6:
10
Lattice="-7.026 5.462 2.637 -2.799 0.661 -8.825 -4.567 -6.345 0.973" Properties=species:S:1:pos:R:3 comment="Cs2Rb2Se, optimized geometry, DFT PBE" sg=P4/mbm total_energy_ev_per_fu=-9.14 total_magnetization_mub_per_cell=0.000 de_polymorph_ev_per_fu=0.05 e_form_raw_kj_per_mol_atoms=-39 pbc="T T T"
Cs -4.994 -1.353 -0.370
Cs -8.844 1.458 -0.114
Cs -9.398 1.130 -4.844
Cs -5.548 -1.680 -5.100
Rb -2.152 1.186 -2.371
Rb -7.672 4.937 -3.817
Rb -4.562 2.301 -6.404
Rb -5.263 3.821 0.217
Se 0.000 0.000 0.000
Se -4.912 3.061 -3.094


Entry 7:
10
Lattice="-1.790 -4.470 -4.417 0.672 -5.846 5.644 -5.250 5.970 0.919" Properties=species:S:1:pos:R:3 comment="Nd2Te2S, optimized geometry, DFT PBE" sg=Ibam total_energy_ev_per_fu=-28.01 total_magnetization_mub_per_cell=0.000 de_polymorph_ev_per_fu=0.10 e_form_raw_kj_per_mol_atoms=-156 pbc="T T T"
Te -3.715 -3.109 4.652
Te -1.583 -0.531 1.179
Te -4.786 -3.815 0.967
Te -2.653 -1.237 -2.506
S -0.112 -4.041 1.718
S -1.007 -6.276 -0.491
Nd -0.722 -4.111 4.453
Nd -4.440 -0.715 2.523
Nd -1.929 -3.631 -0.377
Nd -5.647 -0.236 -2.307


Entry 8:
8
Lattice="4.118 0.000 0.000 0.000 4.118 0.000 2.059 2.059 10.680" Properties=species:S:1:pos:R:3 comment="YTa2Cd, optimized geometry, DFT PBE" sg=I-42d total_energy_ev_per_fu=-28.39 total_magnetization_mub_per_cell=0.000 ef_ev_per_fu=2.691 pbc="T T T"
Y 2.059 2.059 0.000
Y 2.059 4.118 5.340
Ta 3.087 1.029 2.670
Ta 1.030 3.088 2.670
Ta 5.147 5.146 8.010
Ta 3.088 3.089 8.010
Cd 4.118 2.059 5.340
Cd 0.000 0.000 0.000


Entry 9:
5
Lattice="5.398 0.000 0.000 0.000 5.398 0.000 0.000 0.000 5.398" Properties=species:S:1:pos:R:3 comment="Na3FeP, optimized geometry, DFT PBE" sg=Pm-3m total_energy_ev_per_fu=-14.80 total_magnetization_mub_per_cell=4.000 de_polymorph_ev_per_fu=0.00 ef_ev_per_fu=3.029 pbc="T T T"
P 0.000 0.000 0.000
Na 0.000 2.699 0.000
Na 2.699 0.000 0.000
Na 0.000 0.000 2.699
Fe 2.699 2.699 2.699


Entry 10:
4
Lattice="5.518 0.000 -0.092 4.411 3.316 -0.092 0.094 0.031 4.475" Properties=species:S:1:pos:R:3 comment="LiTcPb2, optimized geometry, DFT PBE" sg=Cm total_energy_ev_per_fu=-18.50 total_magnetization_mub_per_cell=0.491 de_polymorph_ev_per_fu=0.21 ef_ev_per_fu=1.192 pbc="T T T"
Pb 0.127 0.042 0.552
Pb 7.386 2.466 2.665
Li 2.926 0.977 0.510
Tc 4.596 1.535 2.710